## ReSiRh2 (GGA-PBE)

Data for an optimized crystal structure of ReSiRh2.

## Properties
* total magnetization: 0.0 μB per cell
* uncorrected energy: -8.422 eV per atom

a b c (Å): 8.490 8.490 8.490
angles (deg): 18.81 18.81 18.81
Sites, in units of the cell vectors:
Rh (0.507, 0.507, 0.507)
Si (0.250, 0.250, 0.250)
Rh (0.993, 0.993, 0.993)
Re (0.750, 0.750, 0.750)

=====

## Re2SiRh (GGA-PBE)

Data for an optimized crystal structure of Re2SiRh.

## Properties
* total magnetization: 0.0 μB per cell
* uncorrected energy: -9.305 eV per atom

a b c (Å): 4.200 3.691 3.691
angles (deg): 90.00 90.00 90.00
Sites, in units of the cell vectors:
Re (0.000, 0.000, 0.000)
Re (0.000, 0.500, 0.500)
Si (0.500, 0.000, 0.500)
Rh (0.500, 0.500, 0.000)

=====

## ReSiRh2 (GGA-PBE)

Data for an optimized crystal structure of ReSiRh2.

## Properties
* total magnetization: 0.0 μB per cell
* uncorrected energy: -8.403 eV per atom

a b c (Å): 4.962 4.962 4.962
angles (deg): 143.64 129.70 63.64
Sites, in units of the cell vectors:
Rh (0.973, 0.973, 0.000)
Re (0.250, 0.750, 0.500)
Si (0.750, 0.250, 0.500)
Rh (0.527, 0.527, 0.000)

=====

## ReSiRh2 (GGA-PBE)

Data for an optimized crystal structure of ReSiRh2.

## Properties
* total magnetization: 0.0 μB per cell
* uncorrected energy: -8.467 eV per atom

a b c (Å): 2.792 2.792 7.020
angles (deg): 90.00 90.00 90.00
Sites, in units of the cell vectors:
Rh (0.000, 0.000, 0.034)
Re (0.500, 0.500, 0.750)
Rh (0.000, 0.000, 0.466)
Si (0.500, 0.500, 0.250)

=====

## ReSiRh2 (GGA-PBE)

Data for an optimized crystal structure of ReSiRh2.

## Properties
* total magnetization: 0.0 μB per cell
* uncorrected energy: -8.416 eV per atom

a b c (Å): 3.966 2.764 5.326
angles (deg): 72.69 90.00 90.00
Sites, in units of the cell vectors:
Rh (0.000, 0.109, 0.008)
Re (0.500, 0.750, 0.750)
Rh (0.000, 0.391, 0.492)
Si (0.500, 0.250, 0.250)

=====

## ReSi4Rh (GGA-PBE)

Data for an optimized crystal structure of ReSi4Rh.

## Properties
* total magnetization: 0.0 μB per cell
* uncorrected energy: -6.450 eV per atom

a b c (Å): 4.826 4.826 4.826
angles (deg): 60.00 60.00 60.00
Sites, in units of the cell vectors:
Re (0.750, 0.750, 0.750)
Si (0.375, 0.375, 0.875)
Si (0.375, 0.375, 0.375)
Si (0.875, 0.375, 0.375)
Rh (0.000, 0.000, 0.000)
Si (0.375, 0.875, 0.375)

=====

## Re2SiRh (GGA-PBE)

Data for an optimized crystal structure of Re2SiRh.

## Properties
* total magnetization: 0.0 μB per cell
* uncorrected energy: -9.613 eV per atom

a b c (Å): 8.577 8.577 8.577
angles (deg): 18.72 18.72 18.72
Sites, in units of the cell vectors:
Re (0.252, 0.252, 0.252)
Rh (0.493, 0.493, 0.493)
Re (0.003, 0.003, 0.003)
Si (0.752, 0.752, 0.752)

=====

## Re2SiRh (GGA-PBE)

Data for an optimized crystal structure of Re2SiRh.

## Properties
* total magnetization: 0.0 μB per cell
* uncorrected energy: -9.606 eV per atom

a b c (Å): 5.097 5.097 5.097
angles (deg): 146.94 128.69 62.40
Sites, in units of the cell vectors:
Rh (0.470, 0.470, 0.000)
Si (0.253, 0.753, 0.500)
Re (0.753, 0.253, 0.500)
Re (0.024, 0.024, 0.000)

=====

## Re2SiRh (GGA-PBE)

Data for an optimized crystal structure of Re2SiRh.

## Properties
* total magnetization: 0.0 μB per cell
* uncorrected energy: -8.196 eV per atom

a b c (Å): 5.645 5.645 6.589
angles (deg): 64.63 64.63 90.00
Sites, in units of the cell vectors:
Si (0.500, 0.500, 0.000)
Rh (0.750, 0.250, 0.500)
Si (0.250, 0.750, 0.500)
Re (0.126, 0.625, 0.250)
Rh (0.000, 0.000, 0.000)
Re (0.624, 0.125, 0.250)
Re (0.375, 0.376, 0.750)
Re (0.875, 0.874, 0.750)

=====

## ReSiRh (GGA-PBE)

Data for an optimized crystal structure of ReSiRh.

## Properties
* energy above the most stable polymorph in this dataset: 201 meV per atom
* total magnetization: 0.0 μB per cell
* uncorrected energy: -8.464 eV per atom

a b c (Å): 4.591 4.591 4.591
angles (deg): 145.15 130.17 62.24
Sites, in units of the cell vectors:
Si (0.666, 0.666, 0.000)
Re (0.999, 0.999, 0.000)
Rh (0.335, 0.335, 0.000)

=====

## Re2SiRh (GGA-PBE)

Data for an optimized crystal structure of Re2SiRh.

## Properties
* total magnetization: 0.0 μB per cell
* uncorrected energy: -9.470 eV per atom

a b c (Å): 4.644 4.644 4.707
angles (deg): 82.82 82.82 34.73
Sites, in units of the cell vectors:
Rh (0.498, 0.498, 0.466)
Re (0.752, 0.752, 0.779)
Si (0.247, 0.247, 0.277)
Re (0.003, 0.003, 0.978)

=====

## Re2SiRh (GGA-PBE)

Data for an optimized crystal structure of Re2SiRh.

## Properties
* total magnetization: 0.0 μB per cell
* uncorrected energy: -9.546 eV per atom

a b c (Å): 5.255 5.255 5.255
angles (deg): 148.38 130.81 59.67
Sites, in units of the cell vectors:
Re (0.031, 0.031, 0.000)
Re (0.469, 0.469, 0.000)
Rh (0.750, 0.250, 0.500)
Si (0.250, 0.750, 0.500)

=====

## Re2SiRh (GGA-PBE)

Data for an optimized crystal structure of Re2SiRh.

## Properties
* total magnetization: 0.0 μB per cell
* uncorrected energy: -9.667 eV per atom

a b c (Å): 2.853 2.853 6.862
angles (deg): 90.00 90.00 90.00
Sites, in units of the cell vectors:
Re (0.500, 0.500, 0.239)
Re (0.000, 0.000, 0.978)
Rh (0.000, 0.000, 0.536)
Si (0.500, 0.500, 0.747)

=====

## ReSiRh (GGA-PBE)

Data for an optimized crystal structure of ReSiRh.

## Properties
* energy above the most stable polymorph in this dataset: 24 meV per atom
* total magnetization: 0.0 μB per cell
* uncorrected energy: -8.642 eV per atom

a b c (Å): 2.786 2.786 6.206
angles (deg): 90.00 90.00 120.00
Sites, in units of the cell vectors:
Rh (0.667, 0.333, 0.353)
Si (0.333, 0.667, 0.658)
Re (0.000, 0.000, 0.989)

=====

## ReSiRh2 (GGA-PBE)

Data for an optimized crystal structure of ReSiRh2.

## Properties
* total magnetization: 0.0 μB per cell
* uncorrected energy: -8.357 eV per atom

a b c (Å): 8.471 8.471 8.471
angles (deg): 18.96 18.96 18.96
Sites, in units of the cell vectors:
Rh (0.242, 0.242, 0.242)
Rh (0.002, 0.002, 0.002)
Re (0.753, 0.753, 0.753)
Si (0.502, 0.502, 0.502)

=====

## ReSiRh2 (GGA-PBE)

Data for an optimized crystal structure of ReSiRh2.

## Properties
* total magnetization: 0.0 μB per cell
* uncorrected energy: -8.312 eV per atom

a b c (Å): 2.775 3.588 5.637
angles (deg): 90.00 90.00 90.00
Sites, in units of the cell vectors:
Rh (0.500, 0.500, 0.281)
Rh (0.000, 0.000, 0.985)
Si (0.000, 0.000, 0.473)
Re (0.500, 0.500, 0.761)

=====

## ReSiRh3 (GGA-PBE)

Data for an optimized crystal structure of ReSiRh3.

## Properties
* energy above the most stable polymorph in this dataset: 633 meV per atom
* total magnetization: 0.0 μB per cell
* uncorrected energy: -6.627 eV per atom

a b c (Å): 4.694 4.694 4.694
angles (deg): 90.00 90.00 90.00
Sites, in units of the cell vectors:
Si (0.500, 0.500, 0.500)
Re (0.000, 0.000, 0.000)
Rh (0.000, 0.000, 0.500)
Rh (0.500, 0.000, 0.000)
Rh (0.000, 0.500, 0.000)

=====

## ReSiRh2 (GGA-PBE)

Data for an optimized crystal structure of ReSiRh2.

## Properties
* total magnetization: 0.0 μB per cell
* uncorrected energy: -8.460 eV per atom

a b c (Å): 4.923 4.923 4.592
angles (deg): 69.19 69.19 32.85
Sites, in units of the cell vectors:
Rh (0.013, 0.013, 0.972)
Rh (0.216, 0.216, 0.314)
Si (0.494, 0.494, 0.434)
Re (0.777, 0.777, 0.780)

=====

## Re2SiRh (GGA-PBE)

Data for an optimized crystal structure of Re2SiRh.

## Properties
* total magnetization: 0.0 μB per cell
* uncorrected energy: -9.503 eV per atom

a b c (Å): 2.792 3.835 5.391
angles (deg): 90.00 90.00 90.00
Sites, in units of the cell vectors:
Si (0.500, 0.500, 0.729)
Rh (0.000, 0.000, 0.534)
Re (0.000, 0.000, 0.016)
Re (0.500, 0.500, 0.221)

=====

## ReSiRh2 (GGA-PBE)

Data for an optimized crystal structure of ReSiRh2.

## Properties
* total magnetization: 0.5 μB per cell
* uncorrected energy: -8.356 eV per atom

a b c (Å): 4.680 4.680 4.680
angles (deg): 132.00 132.00 70.23
Each line ends with the local moment (μB).
Sites, in units of the cell vectors:
Re (0.750, 0.250, 0.500)  0.34
Rh (0.000, 0.000, 0.000)  0.03
Rh (0.500, 0.500, 0.000)  0.03
Si (0.250, 0.750, 0.500)  0.00

=====

## Re2SiRh (GGA-PBE)

Data for an optimized crystal structure of Re2SiRh.

## Properties
* total magnetization: 1.0 μB per cell
* uncorrected energy: -9.281 eV per atom

a b c (Å): 4.329 4.329 4.329
angles (deg): 60.00 60.00 60.00
Each line ends with the local moment (μB).
Sites, in units of the cell vectors:
Re (0.000, 0.000, 0.000)  0.00
Rh (0.500, 0.500, 0.500)  0.36
Si (0.750, 0.750, 0.750)  0.02
Re (0.250, 0.250, 0.250)  0.57

=====

## ReSiRh2 (GGA-PBE)

Data for an optimized crystal structure of ReSiRh2.

## Properties
* total magnetization: 0.4 μB per cell
* uncorrected energy: -8.150 eV per atom

a b c (Å): 4.585 4.585 2.714
angles (deg): 90.00 90.00 90.00
Each line ends with the local moment (μB).
Sites, in units of the cell vectors:
Si (0.500, 0.000, 0.500)  0.01
Rh (0.000, 0.000, 0.000)  0.03
Rh (0.500, 0.500, 0.000)  0.03
Re (0.000, 0.500, 0.500)  0.32

=====

## Re2Si2Rh (GGA-PBE)

Data for an optimized crystal structure of Re2Si2Rh.

## Properties
* energy above the most stable polymorph in this dataset: 101 meV per atom
* total magnetization: 0.0 μB per cell
* uncorrected energy: -8.561 eV per atom

a b c (Å): 7.065 7.065 2.898
angles (deg): 90.00 90.00 90.00
Sites, in units of the cell vectors:
Si (0.164, 0.664, 0.500)
Re (0.868, 0.632, 0.000)
Re (0.132, 0.368, 0.000)
Si (0.836, 0.336, 0.500)
Re (0.632, 0.132, 0.000)
Rh (0.500, 0.500, 0.000)
Rh (0.000, 0.000, 0.000)
Si (0.336, 0.164, 0.500)
Si (0.664, 0.836, 0.500)
Re (0.368, 0.868, 0.000)

=====

## ReSiRh2 (GGA-PBE)

Data for an optimized crystal structure of ReSiRh2.

## Properties
* total magnetization: 0.0 μB per cell
* uncorrected energy: -8.492 eV per atom

a b c (Å): 2.851 2.851 6.828
angles (deg): 90.00 90.00 90.00
Sites, in units of the cell vectors:
Rh (0.500, 0.500, 0.295)
Rh (0.000, 0.000, 0.983)
Re (0.500, 0.500, 0.733)
Si (0.000, 0.000, 0.489)

=====

## ReSiRh2 (GGA-PBE)

Data for an optimized crystal structure of ReSiRh2.

## Properties
* total magnetization: 0.0 μB per cell
* uncorrected energy: -8.332 eV per atom

a b c (Å): 4.643 4.643 2.740
angles (deg): 89.99 89.99 109.38
Sites, in units of the cell vectors:
Re (0.000, 0.500, 0.500)
Rh (0.000, 0.000, 0.000)
Si (0.500, 0.000, 0.500)
Rh (0.500, 0.500, 0.000)

=====

## ReSiRh4 (GGA-PBE)

Data for an optimized crystal structure of ReSiRh4.

## Properties
* total magnetization: 0.0 μB per cell
* uncorrected energy: -7.331 eV per atom

a b c (Å): 5.040 5.040 5.040
angles (deg): 60.00 60.00 60.00
Sites, in units of the cell vectors:
Rh (0.375, 0.875, 0.375)
Rh (0.875, 0.375, 0.375)
Rh (0.375, 0.375, 0.875)
Re (0.000, 0.000, 0.000)
Si (0.750, 0.750, 0.750)
Rh (0.375, 0.375, 0.375)

=====

## ReSiRh2 (GGA-PBE)

Data for an optimized crystal structure of ReSiRh2.

## Properties
* total magnetization: 0.0 μB per cell
* uncorrected energy: -7.884 eV per atom

a b c (Å): 3.797 3.797 8.935
angles (deg): 77.73 77.73 90.00
Sites, in units of the cell vectors:
Si (0.250, 0.750, 0.500)
Rh (0.133, 0.625, 0.250)
Rh (0.875, 0.867, 0.750)
Re (0.000, 0.000, 0.000)
Rh (0.617, 0.125, 0.250)
Rh (0.375, 0.383, 0.750)
Si (0.500, 0.500, 0.000)
Re (0.750, 0.250, 0.500)

=====

## Re2SiRh (GGA-PBE)

Data for an optimized crystal structure of Re2SiRh.

## Properties
* total magnetization: 0.0 μB per cell
* uncorrected energy: -9.360 eV per atom

a b c (Å): 2.847 3.946 5.101
angles (deg): 90.00 90.00 90.00
Sites, in units of the cell vectors:
Rh (0.500, 0.500, 0.250)
Si (0.500, 0.500, 0.750)
Re (0.000, 0.000, 0.511)
Re (0.000, 0.000, 0.989)

=====

## ReSiRh3 (GGA-PBE)

Data for an optimized crystal structure of ReSiRh3.

## Properties
* energy above the most stable polymorph in this dataset: 0 meV per atom
* total magnetization: 4.0 μB per cell
* uncorrected energy: -7.260 eV per atom

a b c (Å): 4.359 4.359 4.359
angles (deg): 90.00 90.00 90.00
Each line ends with the local moment (μB).
Sites, in units of the cell vectors:
Si (0.000, 0.000, 0.000)  0.00
Re (0.500, 0.500, 0.500)  2.81
Rh (0.000, 0.500, 0.000)  0.27
Rh (0.500, 0.000, 0.000)  0.32
Rh (0.000, 0.000, 0.500)  0.21

=====

## ReSiRh2 (GGA-PBE)

Data for an optimized crystal structure of ReSiRh2.

## Properties
* total magnetization: 0.0 μB per cell
* uncorrected energy: -8.303 eV per atom

a b c (Å): 4.589 4.589 4.589
angles (deg): 129.85 129.85 73.65
Sites, in units of the cell vectors:
Rh (0.000, 0.000, 0.000)
Si (0.500, 0.500, 0.000)
Re (0.750, 0.250, 0.500)
Rh (0.250, 0.750, 0.500)